This record from the Alexandria database describes a relaxed structure of Na4Pd3RhO8. The functional is PBE.

Lattice parameters (Å, degrees): 6.1152 6.0797 7.0856 119.57 115.56 90.00
Last column: magnetic moment on the atom in μB.
Sites, in units of the cell vectors:
Na (0.5000, 0.0000, 0.0000)  0.00
Na (0.5000, 0.0000, 0.5000)  0.00
Na (0.0000, 0.0000, 0.0000)  0.00
Na (0.0000, 0.0000, 0.5000)  0.00
Pd (0.5000, 0.5000, 0.0000)  0.05
Pd (0.5000, 0.5000, 0.5000)  0.03
Pd (0.0000, 0.5000, 0.5000)  0.03
Rh (0.0000, 0.5000, 0.0000)  0.50
O (0.2846, 0.7531, 0.0705)  0.08
O (0.1854, 0.6233, 0.3708)  0.03
O (0.3091, 0.3684, 0.6181)  0.00
O (0.7860, 0.7531, 0.0705)  0.08
O (0.2140, 0.2469, 0.9295)  0.08
O (0.6909, 0.6316, 0.3819)  0.00
O (0.8146, 0.3767, 0.6292)  0.03
O (0.7154, 0.2469, 0.9295)  0.08

Output
VASP energy ... -83.2 eV for the cell shown
Total magnetic moment ... 1.08 Bohr magnetons per cell
Formation energy (no corrections) ... -0.955 eV/atom